Computed, not measured: an optimized crystal structure of V2SiHOs at the PBE level of DFT.

Unit cell a=4.599 b=4.599 c=3.019 alpha=90.00 beta=90.00 gamma=90.00
Fractional positions:
H (0.000, 0.000, 0.500)
Si (0.000, 0.000, 0.000)
Os (0.500, 0.500, 0.500)
V (0.000, 0.500, 0.000)
V (0.500, 0.000, 0.000)

Output
SG = P4/mmm (123)
Crystal system = tetragonal
Total moment = 0.000 μB per atom
Density = 8.35 g/cm³
Uncorrected energy = -6.975 eV per atom


Computed, not measured: an optimized crystal structure of TcPbN2 at the PBE level of DFT.

Unit cell a=5.505 b=5.505 c=5.938 alpha=62.39 beta=62.39 gamma=90.00
Fractional positions:
Pb (0.000, 0.000, 0.000)
Pb (0.750, 0.250, 0.500)
Tc (0.500, 0.500, 0.000)
Tc (0.250, 0.750, 0.500)
N (0.499, 0.125, 0.250)
N (0.251, 0.625, 0.250)
N (0.375, 0.501, 0.750)
N (0.875, 0.749, 0.750)

Output
SG = I-42d (122)
Crystal system = tetragonal
Total moment = 0.000 μB per atom
Uncorrected formation energy = 0.32 eV per atom
Density = 8.14 g/cm³
Uncorrected energy = -7.358 eV per atom


Computed, not measured: an optimized crystal structure of Ba2SbIr3O12 at the PBE level of DFT.

Unit cell a=7.235 b=7.235 c=7.235 alpha=59.06 beta=59.06 gamma=59.06
Fractional positions:
Ba (0.623, 0.623, 0.623)
Ba (0.377, 0.377, 0.377)
Sb (0.000, 0.000, 0.000)
Ir (0.500, 0.000, 0.000)
Ir (0.000, 0.500, 0.000)
Ir (0.000, 0.000, 0.500)
O (0.324, 0.324, 0.912)
O (0.913, 0.913, 0.341)
O (0.341, 0.913, 0.913)
O (0.912, 0.324, 0.324)
O (0.913, 0.341, 0.913)
O (0.324, 0.912, 0.324)
O (0.676, 0.676, 0.088)
O (0.087, 0.087, 0.659)
O (0.659, 0.087, 0.087)
O (0.088, 0.676, 0.676)
O (0.087, 0.659, 0.087)
O (0.676, 0.088, 0.676)

Output
SG = R-3m (166)
Crystal system = trigonal
Total moment = 0.015 μB per atom
Uncorrected formation energy = -1.34 eV per atom
Density = 7.38 g/cm³
Uncorrected energy = -6.565 eV per atom


Computed, not measured: an optimized crystal structure of ThMg7 at the PBE level of DFT.

Unit cell a=5.201 b=6.686 c=6.686 alpha=120.00 beta=90.00 gamma=90.00
Fractional positions:
Th (0.000, 0.000, 0.000)
Mg (0.000, 0.994, 0.497)
Mg (0.000, 0.503, 0.006)
Mg (0.000, 0.503, 0.497)
Mg (0.500, 0.829, 0.171)
Mg (0.500, 0.829, 0.659)
Mg (0.500, 0.341, 0.171)
Mg (0.500, 0.333, 0.667)

Output
SG = P-6m2 (187)
Crystal system = hexagonal
Total moment = 0.000 μB per atom
Density = 3.32 g/cm³
DFT formation energy = 8 kJ/mol of atoms
Uncorrected energy = -2.236 eV per atom


Computed, not measured: an optimized crystal structure of MgZrSi at the PBE level of DFT.

Unit cell a=3.892 b=3.892 c=7.380 alpha=90.00 beta=90.00 gamma=90.00
Fractional positions:
Mg (0.000, 0.000, 0.500)
Mg (0.500, 0.500, 0.500)
Zr (0.000, 0.500, 0.143)
Zr (0.500, 0.000, 0.857)
Si (0.000, 0.500, 0.774)
Si (0.500, 0.000, 0.226)

Output
SG = P4/nmm (129)
Crystal system = tetragonal
Total moment = 0.000 μB per atom
Uncorrected formation energy = -0.48 eV per atom
Density = 4.27 g/cm³
Uncorrected energy = -5.669 eV per atom


Computed, not measured: an optimized crystal structure of ErNiPt3 at the PBE level of DFT.

Unit cell a=4.376 b=6.460 c=6.086 alpha=90.00 beta=90.00 gamma=90.00
Fractional positions:
Er (0.500, 0.000, 0.244)
Er (0.000, 0.500, 0.756)
Ni (0.000, 0.000, 0.550)
Ni (0.500, 0.500, 0.450)
Pt (0.000, 0.701, 0.278)
Pt (0.500, 0.799, 0.722)
Pt (0.500, 0.201, 0.722)
Pt (0.000, 0.299, 0.278)
Pt (0.000, 0.000, 0.948)
Pt (0.500, 0.500, 0.052)

Output
SG = Pmmn (59)
Crystal system = orthorhombic
Total moment = 0.222 μB per atom
Density = 15.66 g/cm³
DFT formation energy = -54 kJ/mol of atoms
Uncorrected energy = -6.250 eV per atom


Computed, not measured: an optimized crystal structure of Er6Os2Ru at the PBE level of DFT.

Unit cell a=8.240 b=8.240 c=8.240 alpha=106.99 beta=110.70 gamma=110.76
Fractional positions:
Er (0.576, 0.749, 0.827)
Er (0.424, 0.251, 0.173)
Er (0.079, 0.251, 0.827)
Er (0.921, 0.749, 0.173)
Er (0.807, 0.732, 0.539)
Er (0.193, 0.268, 0.461)
Er (0.193, 0.732, 0.925)
Er (0.807, 0.268, 0.075)
Er (0.691, 0.356, 0.665)
Er (0.309, 0.644, 0.335)
Er (0.309, 0.974, 0.665)
Er (0.691, 0.026, 0.335)
Os (0.500, 0.379, 0.879)
Os (0.500, 0.621, 0.121)
Os (0.668, 0.000, 0.668)
Os (0.332, 0.000, 0.332)
Ru (0.000, 0.500, 0.500)
Ru (0.000, 0.000, 0.000)

Output
SG = Immm (71)
Crystal system = orthorhombic
Total moment = 0.000 μB per atom
Density = 11.47 g/cm³
Offset from the most stable computed form = 0.000 kcal/mol of atoms
DFT formation energy = -25 kJ/mol of atoms
Uncorrected energy = -6.830 eV per atom


Computed, not measured: an optimized crystal structure of ThSi2RuPt4 at the PBE level of DFT.

Unit cell a=3.914 b=3.914 c=9.571 alpha=90.00 beta=90.00 gamma=90.00
Fractional positions:
Th (0.000, 0.000, 0.000)
Si (0.500, 0.500, 0.382)
Si (0.500, 0.500, 0.618)
Ru (0.000, 0.000, 0.500)
Pt (0.000, 0.500, 0.238)
Pt (0.500, 0.000, 0.762)
Pt (0.500, 0.000, 0.238)
Pt (0.000, 0.500, 0.762)

Output
SG = P4/mmm (123)
Crystal system = tetragonal
Total moment = 0.054 μB per atom
Uncorrected formation energy = -0.50 eV per atom
Density = 13.25 g/cm³
Uncorrected energy = -6.967 eV per atom


Computed, not measured: an optimized crystal structure of K2ThRe3O12 at the PBE level of DFT.

Unit cell a=7.598 b=7.598 c=7.598 alpha=58.39 beta=58.39 gamma=58.39
Fractional positions:
K (0.645, 0.645, 0.645)
K (0.355, 0.355, 0.355)
Th (0.000, 0.000, 0.000)
Re (0.500, 0.000, 0.000)
Re (0.000, 0.500, 0.000)
Re (0.000, 0.000, 0.500)
O (0.296, 0.296, 0.929)
O (0.913, 0.913, 0.370)
O (0.370, 0.913, 0.913)
O (0.929, 0.296, 0.296)
O (0.913, 0.370, 0.913)
O (0.296, 0.929, 0.296)
O (0.704, 0.704, 0.071)
O (0.087, 0.087, 0.630)
O (0.630, 0.087, 0.087)
O (0.071, 0.704, 0.704)
O (0.087, 0.630, 0.087)
O (0.704, 0.071, 0.704)

Output
SG = R-3m (166)
Crystal system = trigonal
Total moment = 0.154 μB per atom
Uncorrected formation energy = -1.96 eV per atom
Density = 5.90 g/cm³
Uncorrected energy = -7.875 eV per atom


Computed, not measured: an optimized crystal structure of Be2CuRh at the PBE level of DFT.

Unit cell a=4.420 b=4.420 c=3.838 alpha=72.37 beta=72.37 gamma=36.54
Fractional positions:
Be (0.996, 0.996, 0.967)
Be (0.255, 0.255, 0.284)
Rh (0.739, 0.739, 0.799)
Cu (0.511, 0.511, 0.450)

Output
SG = Cm (8)
Crystal system = monoclinic
Total moment = 0.000 μB per atom
Density = 7.24 g/cm³
DFT formation energy = -30 kJ/mol of atoms
Uncorrected energy = -5.039 eV per atom


Computed, not measured: an optimized crystal structure of SmTh2P2Rh7 at the PBE level of DFT.

Unit cell a=4.036 b=4.036 c=13.506 alpha=84.21 beta=84.21 gamma=89.56
Fractional positions:
Sm (0.000, 0.000, 0.000)
Th (0.891, 0.891, 0.350)
Th (0.109, 0.109, 0.650)
P (0.584, 0.584, 0.750)
P (0.416, 0.416, 0.250)
Rh (0.500, 0.500, 0.000)
Rh (0.371, 0.371, 0.423)
Rh (0.629, 0.629, 0.577)
Rh (0.945, 0.445, 0.166)
Rh (0.445, 0.945, 0.166)
Rh (0.555, 0.055, 0.834)
Rh (0.055, 0.555, 0.834)

Output
SG = C2/m (12)
Crystal system = monoclinic
Total moment = 0.000 μB per atom
Density = 10.65 g/cm³
DFT formation energy = -91 kJ/mol of atoms
Uncorrected energy = -7.767 eV per atom


Computed, not measured: an optimized crystal structure of LiMgCr2 at the PBE level of DFT.

Unit cell a=4.571 b=2.571 c=4.975 alpha=71.23 beta=90.00 gamma=90.00
Fractional positions:
Cr (0.000, 0.995, 0.036)
Cr (0.000, 0.505, 0.464)
Li (0.500, 0.250, 0.250)
Mg (0.500, 0.750, 0.750)

Output
SG = P2/m (10)
Crystal system = monoclinic
Total moment = 0.000 μB per atom
Density = 4.06 g/cm³
DFT formation energy = 53 kJ/mol of atoms
Uncorrected energy = -5.140 eV per atom


Computed, not measured: an optimized crystal structure of CdInI2 at the PBE level of DFT.

Unit cell a=4.512 b=4.512 c=10.603 alpha=77.71 beta=77.71 gamma=60.00
Fractional positions:
I (0.096, 0.096, 0.713)
I (0.904, 0.904, 0.287)
Cd (0.000, 0.000, 0.000)
In (0.500, 0.500, 0.500)

Output
SG = R-3m (166)
Crystal system = trigonal
Total moment = 0.000 μB per atom
Uncorrected formation energy = -0.15 eV per atom
Density = 4.41 g/cm³
Offset from the most stable computed form = 2.001 kcal/mol of atoms
Uncorrected energy = -1.838 eV per atom


Computed, not measured: an optimized crystal structure of LuPd3 at the PBE level of DFT.

Unit cell a=4.619 b=4.619 c=4.619 alpha=60.00 beta=60.00 gamma=60.00
Fractional positions:
Lu (0.500, 0.500, 0.500)
Pd (0.000, 0.000, 0.000)
Pd (0.750, 0.750, 0.750)
Pd (0.250, 0.250, 0.250)

Output
SG = Fm-3m (225)
Crystal system = cubic
Total moment = 0.000 μB per atom
Density = 11.78 g/cm³
DFT formation energy = -74 kJ/mol of atoms
Uncorrected energy = -5.796 eV per atom


Computed, not measured: an optimized crystal structure of ZnCdFe2 at the PBE level of DFT.

Unit cell a=4.344 b=4.344 c=4.344 alpha=60.00 beta=60.00 gamma=60.00
Fractional positions:
Cd (0.500, 0.500, 0.500)
Fe (0.000, 0.000, 0.000)
Fe (0.250, 0.250, 0.250)
Zn (0.750, 0.750, 0.750)

Output
SG = F-43m (216)
Crystal system = cubic
Total moment = 1.249 μB per atom
Density = 8.30 g/cm³
DFT formation energy = 26 kJ/mol of atoms
Uncorrected energy = -4.509 eV per atom


Computed, not measured: an optimized crystal structure of Ho2OsI at the PBE level of DFT.

Unit cell a=4.075 b=4.075 c=8.198 alpha=75.61 beta=75.61 gamma=60.00
Fractional positions:
I (0.500, 0.500, 0.500)
Os (0.000, 0.000, 0.000)
Ho (0.727, 0.727, 0.818)
Ho (0.273, 0.273, 0.182)

Output
SG = R-3m (166)
Crystal system = trigonal
Total moment = 0.000 μB per atom
Uncorrected formation energy = -0.47 eV per atom
Density = 9.51 g/cm³
Offset from the most stable computed form = 0.132 kcal/mol of atoms
Uncorrected energy = -5.956 eV per atom


Computed, not measured: an optimized crystal structure of AcCrH6 at the PBE level of DFT.

Unit cell a=4.785 b=4.785 c=4.909 alpha=60.84 beta=60.84 gamma=60.00
Fractional positions:
Ac (0.500, 0.500, 0.500)
Cr (0.000, 0.000, 0.000)
H (0.905, 0.905, 0.771)
H (0.419, 0.905, 0.771)
H (0.095, 0.581, 0.229)
H (0.581, 0.095, 0.229)
H (0.095, 0.095, 0.229)
H (0.905, 0.419, 0.771)

Output
SG = R-3m (166)
Crystal system = trigonal
Total moment = 0.375 μB per atom
Density = 5.88 g/cm³
Uncorrected energy = -4.463 eV per atom


Computed, not measured: an optimized crystal structure of Tb3PrF at the PBE level of DFT.

Unit cell a=5.102 b=5.102 c=5.102 alpha=90.00 beta=90.00 gamma=90.00
Fractional positions:
Pr (0.500, 0.500, 0.500)
Tb (0.000, 0.500, 0.000)
Tb (0.000, 0.000, 0.500)
Tb (0.500, 0.000, 0.000)
F (0.000, 0.000, 0.000)

Output
SG = Pm-3m (221)
Crystal system = cubic
Total moment = 0.000 μB per atom
Uncorrected formation energy = -0.94 eV per atom
Density = 7.96 g/cm³
Uncorrected energy = -5.044 eV per atom


Computed, not measured: an optimized crystal structure of ZnSe2Cl at the PBE level of DFT.

Unit cell a=5.179 b=5.179 c=2.972 alpha=90.00 beta=90.00 gamma=90.00
Fractional positions:
Cl (0.000, 0.500, 0.500)
Se (0.000, 0.000, 0.000)
Se (0.500, 0.500, 0.000)
Zn (0.500, 0.000, 0.500)

Output
SG = P4/mmm (123)
Crystal system = tetragonal
Total moment = 0.000 μB per atom
Uncorrected formation energy = 0.41 eV per atom
Density = 5.39 g/cm³
Offset from the most stable computed form = 18.165 kcal/mol of atoms
Uncorrected energy = -2.116 eV per atom


Computed, not measured: an optimized crystal structure of Ce6PuFePb2 at the PBE level of DFT.

Unit cell a=7.213 b=7.213 c=7.215 alpha=59.98 beta=59.98 gamma=89.97
Fractional positions:
Ce (0.257, 0.257, 0.486)
Ce (0.743, 0.743, 0.000)
Ce (0.257, 0.743, 0.000)
Ce (0.743, 0.257, 0.000)
Ce (0.257, 0.257, 0.000)
Ce (0.743, 0.743, 0.514)
Pu (0.500, 0.500, 0.000)
Fe (0.000, 0.000, 0.000)
Pb (0.750, 0.250, 0.500)
Pb (0.250, 0.750, 0.500)

Output
SG = Fm-3m (225)
Crystal system = cubic
Total moment = 0.000 μB per atom
Density = 9.73 g/cm³
DFT formation energy = -37 kJ/mol of atoms
Uncorrected energy = -6.962 eV per atom